Compound: CrCuNi5
Source: Alexandria via LeMat-Bulk
Functional: PBE-GGA
Structure: relaxed

Unit cell a=5.1016 b=5.1016 c=5.1016 alpha=126.08 beta=126.03 gamma=79.80
Sites, in units of the cell vectors:
Cr 0.0000 0.0000 0.0000
Cu 0.8741 0.3741 0.5000
Ni 0.3446 0.1047 0.7601
Ni 0.3446 0.5844 0.2399
Ni 0.3918 0.6316 0.7602
Ni 0.5968 0.0968 0.5000
Ni 0.8714 0.6316 0.2398

E above lowest polymorph ... 0.143 eV/atom
Energy of formation from the pure elements ... 2.1 eV per formula unit
Size of the total moment ... 5.37 μB per formula unit

***

Compound: CrCu2Ni
Source: Alexandria via LeMat-Bulk
Functional: PBE-GGA
Structure: relaxed

Unit cell a=8.5627 b=8.5627 c=8.5627 alpha=16.90 beta=16.90 gamma=16.90
Sites, in units of the cell vectors:
Cr 0.0000 0.0000 0.0000
Cu 0.2484 0.2484 0.2484
Cu 0.7516 0.7516 0.7516
Ni 0.5000 0.5000 0.5000

Energy of formation from the pure elements ... 0.7 eV per formula unit
Size of the total moment ... 0.21 μB per formula unit

***

- Which of these has the highest energy of formation from the pure elements?
  CrCuNi5